[1]
First-principles (GGA-PBE) data for a relaxed KMoPt crystal, as listed in Alexandria.

Structure (CIF):
```
data_KMoPt
_chemical_formula_sum 'K1 Mo1 Pt1'
_space_group_name_H-M_alt 'P -6 m 2'
_space_group_IT_number 187
_space_group_name_Hall 'P -6 2'
_cell_length_a 5.0538
_cell_length_b 5.0538
_cell_length_c 2.6713
_cell_angle_alpha 90.00
_cell_angle_beta 90.00
_cell_angle_gamma 120.00
loop_
_atom_site_label
_atom_site_type_symbol
_atom_site_fract_x
_atom_site_fract_y
_atom_site_fract_z
K1 K 0.0000 0.0000 0.0000
Mo1 Mo 0.6667 0.3333 0.5000
Pt1 Pt 0.3333 0.6667 0.5000
```

The calculation puts the calculated formation energy at 1.035 eV/atom. The calculation puts the total energy at -4.955 eV per atom.

---

[2]
First-principles (GGA-PBE) data for a relaxed NbS3Br crystal, as listed in Alexandria.

Structure (CIF):
```
data_NbS3Br
_chemical_formula_sum 'Nb1 S3 Br1'
_space_group_name_H-M_alt 'P m -3 m'
_space_group_IT_number 221
_space_group_name_Hall '-P 4 2 3'
_cell_length_a 4.765
_cell_length_b 4.765
_cell_length_c 4.765
_cell_angle_alpha 90.00
_cell_angle_beta 90.00
_cell_angle_gamma 90.00
loop_
_atom_site_label
_atom_site_type_symbol
_atom_site_fract_x
_atom_site_fract_y
_atom_site_fract_z
Nb1 Nb 0.000 0.000 0.000
S1 S 0.000 0.500 0.500
Br1 Br 0.500 0.500 0.500
```

The raw formation energy comes out at 1.20 eV per atom. The calculation puts the total energy at -3.625 eV per atom.

---

[3]
First-principles (GGA-PBE) data for a relaxed La6Al2C crystal, as listed in Alexandria.

Structure (CIF):
```
data_La6Al2C
_chemical_formula_sum 'La24 Al8 C4'
_space_group_name_H-M_alt 'F m -3 m'
_space_group_IT_number 225
_space_group_name_Hall '-F 4 2 3'
_cell_length_a 10.180
_cell_length_b 10.180
_cell_length_c 10.180
_cell_angle_alpha 90.00
_cell_angle_beta 90.00
_cell_angle_gamma 90.00
loop_
_atom_site_label
_atom_site_type_symbol
_atom_site_fract_x
_atom_site_fract_y
_atom_site_fract_z
La1 La 0.000 0.000 0.246
Al1 Al 0.250 0.250 0.250
C1 C 0.000 0.000 0.000
```

The calculation puts the calculated formation energy at -0.211 eV/atom. The calculation puts the total energy at -5.352 eV per atom.

---

[4]
First-principles (GGA-PBE) data for a relaxed CsSbP2Br crystal, as listed in Alexandria.

Structure (CIF):
```
data_CsSbP2Br
_chemical_formula_sum 'Cs1 Sb1 P2 Br1'
_space_group_name_H-M_alt 'P 4/m m m'
_space_group_IT_number 123
_space_group_name_Hall '-P 4 2'
_cell_length_a 5.292
_cell_length_b 5.292
_cell_length_c 5.643
_cell_angle_alpha 90.00
_cell_angle_beta 90.00
_cell_angle_gamma 90.00
loop_
_atom_site_label
_atom_site_type_symbol
_atom_site_fract_x
_atom_site_fract_y
_atom_site_fract_z
Cs1 Cs 0.000 0.000 0.000
Sb1 Sb 0.500 0.500 0.000
P1 P 0.000 0.500 0.500
Br1 Br 0.500 0.500 0.500
```

The raw formation energy comes out at 0.90 eV per atom. The calculation puts the total energy at -2.599 eV per atom.

---

[5]
First-principles (GGA-PBE) data for a relaxed NbAsPtBr2 crystal, as listed in Alexandria.

Structure (CIF):
```
data_NbAsPtBr2
_chemical_formula_sum 'Nb1 As1 Pt1 Br2'
_space_group_name_H-M_alt 'P 4/m m m'
_space_group_IT_number 123
_space_group_name_Hall '-P 4 2'
_cell_length_a 4.958
_cell_length_b 4.958
_cell_length_c 5.253
_cell_angle_alpha 90.00
_cell_angle_beta 90.00
_cell_angle_gamma 90.00
loop_
_atom_site_label
_atom_site_type_symbol
_atom_site_fract_x
_atom_site_fract_y
_atom_site_fract_z
Nb1 Nb 0.000 0.000 0.000
As1 As 0.000 0.000 0.500
Pt1 Pt 0.500 0.500 0.500
Br1 Br 0.000 0.500 0.000
```

The raw formation energy comes out at 0.63 eV per atom. The calculation puts the total energy at -4.189 eV per atom.

---

[6]
First-principles (GGA-PBE) data for a relaxed BePd crystal, as listed in Alexandria.

Structure (CIF):
```
data_BePd
_chemical_formula_sum 'Be2 Pd2'
_space_group_name_H-M_alt 'C 1 2 1'
_space_group_IT_number 5
_cell_length_a 2.865
_cell_length_b 4.962
_cell_length_c 3.375
_cell_angle_alpha 90.00
_cell_angle_beta 90.21
_cell_angle_gamma 90.00
loop_
_space_group_symop_operation_xyz
'x,y,z'
'-x,y,-z'
'x+1/2,y+1/2,z'
'-x+1/2,y+1/2,-z'
loop_
_atom_site_label
_atom_site_type_symbol
_atom_site_fract_x
_atom_site_fract_y
_atom_site_fract_z
Be1 Be 0.000 0.000 0.000
Pd1 Pd 0.000 0.667 0.500
```

The calculation puts the calculated formation energy at -0.392 eV/atom. The calculation puts the total energy at -4.851 eV per atom.

---

[7]
First-principles (GGA-PBE) data for a relaxed MgReHg crystal, as listed in Alexandria.

Structure (CIF):
```
data_MgReHg
_chemical_formula_sum 'Mg2 Re2 Hg2'
_space_group_name_H-M_alt 'P 3 m 1'
_space_group_IT_number 156
_cell_length_a 4.5608
_cell_length_b 4.5608
_cell_length_c 5.9324
_cell_angle_alpha 90.00
_cell_angle_beta 90.00
_cell_angle_gamma 120.00
loop_
_space_group_symop_operation_xyz
'x,y,z'
'-y,x-y,z'
'-x+y,-x,z'
'-y,-x,z'
'-x+y,y,z'
'x,x-y,z'
loop_
_atom_site_label
_atom_site_type_symbol
_atom_site_fract_x
_atom_site_fract_y
_atom_site_fract_z
Mg1 Mg 0.0000 0.0000 0.0000
Mg2 Mg 0.3333 0.6667 0.3467
Re1 Re 0.0000 0.0000 0.5308
Re2 Re 0.6667 0.3333 0.6117
Hg1 Hg 0.3333 0.6667 0.8262
Hg2 Hg 0.6667 0.3333 0.1269
```

The calculation puts the calculated formation energy at 0.335 eV/atom. The calculation puts the total energy at -4.447 eV per atom.

---

[8]
First-principles (GGA-PBE) data for a relaxed Ti2CrGe2 crystal, as listed in Alexandria.

Structure (CIF):
```
data_Ti2CrGe2
_chemical_formula_sum 'Ti8 Cr4 Ge8'
_space_group_name_H-M_alt 'C m c 21'
_space_group_IT_number 36
_cell_length_a 3.288
_cell_length_b 15.501
_cell_length_c 6.454
_cell_angle_alpha 90.00
_cell_angle_beta 90.00
_cell_angle_gamma 90.00
loop_
_space_group_symop_operation_xyz
'x,y,z'
'-x,-y,z+1/2'
'-x,y,z'
'x,-y,z+1/2'
'x+1/2,y+1/2,z'
'-x+1/2,-y+1/2,z+1/2'
'-x+1/2,y+1/2,z'
'x+1/2,-y+1/2,z+1/2'
loop_
_atom_site_label
_atom_site_type_symbol
_atom_site_fract_x
_atom_site_fract_y
_atom_site_fract_z
Ti1 Ti 0.000 0.023 0.000
Ti2 Ti 0.000 0.191 0.582
Cr1 Cr 0.000 0.410 0.816
Ge1 Ge 0.000 0.183 0.155
Ge2 Ge 0.000 0.426 0.209
```

The calculation puts the calculated formation energy at -0.257 eV/atom. The calculation puts the total energy at -7.187 eV per atom.

---

[9]
First-principles (GGA-PBE) data for a relaxed Sm2Hg2Pt15 crystal, as listed in Alexandria.

Structure (CIF):
```
data_Sm2Hg2Pt15
_chemical_formula_sum 'Sm6 Hg6 Pt45'
_space_group_name_H-M_alt 'R -3 m'
_space_group_IT_number 166
_space_group_name_Hall '-R 3 2"'
_cell_length_a 9.4236
_cell_length_b 9.4236
_cell_length_c 13.4555
_cell_angle_alpha 90.00
_cell_angle_beta 90.00
_cell_angle_gamma 120.00
loop_
_atom_site_label
_atom_site_type_symbol
_atom_site_fract_x
_atom_site_fract_y
_atom_site_fract_z
Sm1 Sm 0.0000 0.0000 0.1472
Hg1 Hg 0.0000 0.0000 0.3959
Pt1 Pt 0.0000 0.3215 0.5000
Pt2 Pt 0.0000 0.5000 0.0000
Pt3 Pt 0.0075 0.5038 0.6606
```

The calculation puts the calculated formation energy at -0.411 eV/atom. The calculation puts the total energy at -5.709 eV per atom.

---

[10]
First-principles (GGA-PBE) data for a relaxed LiP2PdO6 crystal, as listed in Alexandria.

Structure (CIF):
```
data_LiP2PdO6
_chemical_formula_sum 'Li4 P8 Pd4 O24'
_space_group_name_H-M_alt 'C 1 2/c 1'
_space_group_IT_number 15
_cell_length_a 10.650
_cell_length_b 10.424
_cell_length_c 4.932
_cell_angle_alpha 90.00
_cell_angle_beta 109.63
_cell_angle_gamma 90.00
loop_
_space_group_symop_operation_xyz
'x,y,z'
'-x,-y,-z'
'-x,y,-z+1/2'
'x,-y,z+1/2'
'x+1/2,y+1/2,z'
'-x+1/2,-y+1/2,-z'
'-x+1/2,y+1/2,-z+1/2'
'x+1/2,-y+1/2,z+1/2'
loop_
_atom_site_label
_atom_site_type_symbol
_atom_site_fract_x
_atom_site_fract_y
_atom_site_fract_z
Li1 Li 0.000 0.042 0.250
P1 P 0.227 0.418 0.260
Pd1 Pd 0.000 0.286 0.750
O1 O 0.123 0.078 0.632
O2 O 0.155 0.294 0.162
O3 O 0.171 0.476 0.502
```

The raw formation energy comes out at -1.75 eV per atom. The calculation puts the total energy at -6.521 eV per atom.

---

[11]
First-principles (GGA-PBE) data for a relaxed Ti3PtN crystal, as listed in Alexandria.

Structure (CIF):
```
data_Ti3PtN
_chemical_formula_sum 'Ti12 Pt4 N4'
_space_group_name_H-M_alt 'I 4/m m m'
_space_group_IT_number 139
_space_group_name_Hall '-I 4 2'
_cell_length_a 4.275
_cell_length_b 4.275
_cell_length_c 15.086
_cell_angle_alpha 90.00
_cell_angle_beta 90.00
_cell_angle_gamma 90.00
loop_
_atom_site_label
_atom_site_type_symbol
_atom_site_fract_x
_atom_site_fract_y
_atom_site_fract_z
Ti1 Ti 0.000 0.000 0.000
Ti2 Ti 0.000 0.000 0.500
Ti3 Ti 0.000 0.500 0.134
Pt1 Pt 0.000 0.000 0.241
N1 N 0.000 0.500 0.000
```

The raw formation energy comes out at -1.09 eV per atom. The calculation puts the total energy at -8.703 eV per atom.

---

[12]
First-principles (GGA-PBE) data for a relaxed Ni3Ru4 crystal, as listed in Alexandria.

Structure (CIF):
```
data_Ni3Ru4
_chemical_formula_sum 'Ni6 Ru8'
_space_group_name_H-M_alt 'I 4/m m m'
_space_group_IT_number 139
_space_group_name_Hall '-I 4 2'
_cell_length_a 2.657
_cell_length_b 2.657
_cell_length_c 25.311
_cell_angle_alpha 90.00
_cell_angle_beta 90.00
_cell_angle_gamma 90.00
loop_
_atom_site_label
_atom_site_type_symbol
_atom_site_fract_x
_atom_site_fract_y
_atom_site_fract_z
Ni1 Ni 0.000 0.000 0.000
Ni2 Ni 0.000 0.000 0.283
Ru1 Ru 0.000 0.000 0.146
Ru2 Ru 0.000 0.000 0.428
```

The calculation puts the calculated formation energy at 0.114 eV/atom. The calculation puts the total energy at -7.664 eV per atom.

---

[13]
First-principles (GGA-PBE) data for a relaxed Zr4ScAl2 crystal, as listed in Alexandria.

Structure (CIF):
```
data_Zr4ScAl2
_chemical_formula_sum 'Zr8 Sc2 Al4'
_space_group_name_H-M_alt 'P b a m'
_space_group_IT_number 55
_cell_length_a 5.897
_cell_length_b 9.309
_cell_length_c 5.587
_cell_angle_alpha 90.00
_cell_angle_beta 90.00
_cell_angle_gamma 90.00
loop_
_space_group_symop_operation_xyz
'x,y,z'
'-x,-y,-z'
'-x,-y,z'
'x,y,-z'
'x+1/2,-y+1/2,-z'
'-x+1/2,y+1/2,z'
'-x+1/2,y+1/2,-z'
'x+1/2,-y+1/2,z'
loop_
_atom_site_label
_atom_site_type_symbol
_atom_site_fract_x
_atom_site_fract_y
_atom_site_fract_z
Zr1 Zr 0.109 0.202 0.000
Zr2 Zr 0.215 0.750 0.500
Sc1 Sc 0.000 0.000 0.500
Al1 Al 0.000 0.500 0.247
```

The calculation puts the calculated formation energy at 0.055 eV/atom. The calculation puts the total energy at -6.804 eV per atom.

---

[14]
First-principles (GGA-PBE) data for a relaxed HfPbAu2 crystal, as listed in Alexandria.

Structure (CIF):
```
data_HfPbAu2
_chemical_formula_sum 'Hf3 Pb3 Au6'
_space_group_name_H-M_alt 'R -3 m'
_space_group_IT_number 166
_space_group_name_Hall '-R 3 2"'
_cell_length_a 3.6124
_cell_length_b 3.6124
_cell_length_c 25.1459
_cell_angle_alpha 90.00
_cell_angle_beta 90.00
_cell_angle_gamma 120.00
loop_
_atom_site_label
_atom_site_type_symbol
_atom_site_fract_x
_atom_site_fract_y
_atom_site_fract_z
Hf1 Hf 0.0000 0.0000 0.0000
Pb1 Pb 0.0000 0.0000 0.5000
Au1 Au 0.0000 0.0000 0.2610
```

The calculation puts the calculated formation energy at -0.220 eV/atom. The calculation puts the total energy at -5.274 eV per atom.

---

[15]
First-principles (GGA-PBE) data for a relaxed Cs2ZrTc2 crystal, as listed in Alexandria.

Structure (CIF):
```
data_Cs2ZrTc2
_chemical_formula_sum 'Cs4 Zr2 Tc4'
_space_group_name_H-M_alt 'P 4/m b m'
_space_group_IT_number 127
_space_group_name_Hall '-P 4 2ab'
_cell_length_a 9.205
_cell_length_b 9.205
_cell_length_c 2.991
_cell_angle_alpha 90.00
_cell_angle_beta 90.00
_cell_angle_gamma 90.00
loop_
_atom_site_label
_atom_site_type_symbol
_atom_site_fract_x
_atom_site_fract_y
_atom_site_fract_z
Cs1 Cs 0.131 0.369 0.000
Zr1 Zr 0.000 0.000 0.000
Tc1 Tc 0.185 0.685 0.500
```

The calculation puts the calculated formation energy at 2.157 eV/atom. The calculation puts the total energy at -4.040 eV per atom.

---

[16]
First-principles (GGA-PBE) data for a relaxed LiRe2Ru crystal, as listed in Alexandria.

Structure (CIF):
```
data_LiRe2Ru
_chemical_formula_sum 'Li1 Re2 Ru1'
_space_group_name_H-M_alt 'P 4/m m m'
_space_group_IT_number 123
_space_group_name_Hall '-P 4 2'
_cell_length_a 2.693
_cell_length_b 2.693
_cell_length_c 7.821
_cell_angle_alpha 90.00
_cell_angle_beta 90.00
_cell_angle_gamma 90.00
loop_
_atom_site_label
_atom_site_type_symbol
_atom_site_fract_x
_atom_site_fract_y
_atom_site_fract_z
Li1 Li 0.000 0.000 0.000
Re1 Re 0.500 0.500 0.252
Ru1 Ru 0.000 0.000 0.500
```

The calculation puts the calculated formation energy at 0.359 eV/atom. The calculation puts the total energy at -8.663 eV per atom.

---

[17]
First-principles (GGA-PBE) data for a relaxed Sm2EuAu crystal, as listed in Alexandria.

Structure (CIF):
```
data_Sm2EuAu
_chemical_formula_sum 'Sm2 Eu1 Au1'
_space_group_name_H-M_alt 'P 4/m m m'
_space_group_IT_number 123
_space_group_name_Hall '-P 4 2'
_cell_length_a 3.715
_cell_length_b 3.715
_cell_length_c 9.029
_cell_angle_alpha 90.00
_cell_angle_beta 90.00
_cell_angle_gamma 90.00
loop_
_atom_site_label
_atom_site_type_symbol
_atom_site_fract_x
_atom_site_fract_y
_atom_site_fract_z
Sm1 Sm 0.000 0.000 0.194
Eu1 Eu 0.500 0.500 0.500
Au1 Au 0.500 0.500 0.000
```

The calculation puts the calculated formation energy at -0.336 eV/atom. The calculation puts the total energy at -6.083 eV per atom.

---

[18]
First-principles (GGA-PBE) data for a relaxed Mg2ZrVSe crystal, as listed in Alexandria.

Structure (CIF):
```
data_Mg2ZrVSe
_chemical_formula_sum 'Mg2 Zr1 V1 Se1'
_space_group_name_H-M_alt 'P 4/m m m'
_space_group_IT_number 123
_space_group_name_Hall '-P 4 2'
_cell_length_a 4.881
_cell_length_b 4.881
_cell_length_c 4.617
_cell_angle_alpha 90.00
_cell_angle_beta 90.00
_cell_angle_gamma 90.00
loop_
_atom_site_label
_atom_site_type_symbol
_atom_site_fract_x
_atom_site_fract_y
_atom_site_fract_z
Mg1 Mg 0.000 0.500 0.000
Zr1 Zr 0.000 0.000 0.500
V1 V 0.500 0.500 0.500
Se1 Se 0.500 0.500 0.000
```

The raw formation energy comes out at 0.46 eV per atom. The calculation puts the total energy at -4.408 eV per atom.

---

[19]
First-principles (GGA-PBE) data for a relaxed ScTa2Al crystal, as listed in Alexandria.

Structure (CIF):
```
data_ScTa2Al
_chemical_formula_sum 'Sc1 Ta2 Al1'
_space_group_name_H-M_alt 'P 1 2/m 1'
_space_group_IT_number 10
_cell_length_a 2.912
_cell_length_b 4.869
_cell_length_c 5.370
_cell_angle_alpha 90.00
_cell_angle_beta 100.35
_cell_angle_gamma 90.00
loop_
_space_group_symop_operation_xyz
'x,y,z'
'-x,-y,-z'
'-x,y,-z'
'x,-y,z'
loop_
_atom_site_label
_atom_site_type_symbol
_atom_site_fract_x
_atom_site_fract_y
_atom_site_fract_z
Sc1 Sc 0.000 0.000 0.000
Ta1 Ta 0.301 0.500 0.744
Al1 Al 0.500 0.000 0.500
```

The calculation puts the calculated formation energy at -0.003 eV/atom. The calculation puts the total energy at -8.448 eV per atom.

---

[20]
First-principles (GGA-PBE) data for a relaxed Sb2PAu crystal, as listed in Alexandria.

Structure (CIF):
```
data_Sb2PAu
_chemical_formula_sum 'Sb6 P3 Au3'
_space_group_name_H-M_alt 'R 3 m'
_space_group_IT_number 160
_space_group_name_Hall 'R 3 -2"'
_cell_length_a 3.9282
_cell_length_b 3.9282
_cell_length_c 20.6581
_cell_angle_alpha 90.00
_cell_angle_beta 90.00
_cell_angle_gamma 120.00
loop_
_atom_site_label
_atom_site_type_symbol
_atom_site_fract_x
_atom_site_fract_y
_atom_site_fract_z
Sb1 Sb 0.0000 0.0000 0.0000
Sb2 Sb 0.0000 0.0000 0.2300
P1 P 0.0000 0.0000 0.4859
Au1 Au 0.0000 0.0000 0.7492
```

The raw formation energy comes out at 0.10 eV per atom. The calculation puts the total energy at -4.133 eV per atom.